A geometry-optimized LiCo2Ir structure, computed with GGA-PBE.

Its energy relative to the elements is 0.120 eV/atom. The total magnetization comes out at 3.7 μB/cell. Its density of states at the Fermi level is 1.26 states/eV/atom.

The structure belongs to space group Pmm2 (No. 25); the cell edges are 2.5743, 3.7346 and 5.0605 Å and the angles 90.00°, 90.00° and 90.00°. The inequivalent atoms are Li at (0.0000, 0.0000, 0.0000), Co at (0.0000, 0.0000, 0.4912), Co at (0.5000, 0.5000, 0.2437) and Ir at (0.5000, 0.5000, 0.7449).

A geometry-optimized La14ScIn structure, computed with GGA-PBE.

Its energy relative to the elements is -0.054 eV/atom. The total magnetization comes out at 0.0 μB/cell. Its density of states at the Fermi level is 1.37 states/eV/atom.

The structure belongs to space group P4/mmm (No. 123); the cell edges are 7.2822, 7.2822 and 10.4254 Å and the angles 90.00°, 90.00° and 90.00°. The inequivalent atoms are La at (0.0000, 0.0000, 0.0000), La at (0.0000, 0.5000, 0.0000), La at (0.0000, 0.5000, 0.5000), La at (0.2485, 0.2485, 0.2573), La at (0.5000, 0.5000, 0.0000), Sc at (0.5000, 0.5000, 0.5000) and In at (0.0000, 0.0000, 0.5000).

A geometry-optimized MnInAu2 structure, computed with GGA-PBE.

Its energy relative to the elements is 0.016 eV/atom. The total magnetization comes out at 12.6 μB/cell. Its density of states at the Fermi level is 0.40 states/eV/atom.

The structure belongs to space group R-3m (No. 166, hexagonal axes); the cell edges are 3.3677, 3.3677 and 24.3228 Å and the angles 90.00°, 90.00° and 120.00°. The inequivalent atoms are Mn at (0.0000, 0.0000, 0.0000), In at (0.0000, 0.0000, 0.5000) and Au at (0.0000, 0.0000, 0.2564).

A geometry-optimized LaPmDy2Sc structure, computed with GGA-PBE.

Its energy relative to the elements is 0.054 eV/atom. The total magnetization comes out at 0.0 μB/cell. Its density of states at the Fermi level is 1.80 states/eV/atom.

The structure belongs to space group P2_1/m (No. 11); the cell edges are 7.8860, 5.0597 and 7.9378 Å and the angles 90.00°, 90.42° and 90.00°. The inequivalent atoms are La at (0.2428, 0.2500, 0.2392), Pm at (0.4449, 0.2500, 0.6529), Dy at (0.1471, 0.7500, 0.5464), Dy at (0.3389, 0.7500, 0.9465) and Sc at (0.0489, 0.2500, 0.8485).

A geometry-optimized CsK3La structure, computed with GGA-PBE.

Its energy relative to the elements is 0.635 eV/atom. The total magnetization comes out at 4.6 μB/cell. Its density of states at the Fermi level is 1.65 states/eV/atom.

The structure belongs to space group Pm-3m (No. 221); the cell edges are 7.3486, 7.3486 and 7.3486 Å and the angles 90.00°, 90.00° and 90.00°. The inequivalent atoms are Cs at (0.0000, 0.0000, 0.0000), K at (0.0000, 0.5000, 0.5000) and La at (0.5000, 0.5000, 0.5000).

A geometry-optimized La4Se5 structure, computed with GGA-PBE.

The calculation puts the energy relative to the lowest polymorph listed for this composition at 264 meV/atom. Its formation energy without anion corrections is -1.58 eV/atom. The total magnetization comes out at 0.0 μB/cell. Its density of states at the Fermi level is 0.72 states/eV/atom.

The structure belongs to space group Immm (No. 71); the cell edges are 3.9146, 8.9967 and 14.5323 Å and the angles 90.00°, 90.00° and 90.00°. The inequivalent atoms are La at (0.0000, 0.2100, 0.1301), Se at (0.0000, 0.1490, 0.5000), Se at (0.0000, 0.5000, 0.2504) and Se at (0.0000, 0.5000, 0.5000).

A geometry-optimized NbB3S structure, computed with GGA-PBE.

The calculation puts the energy relative to the lowest polymorph listed for this composition at 0 meV/atom. Its formation energy without anion corrections is 1.43 eV/atom. The total magnetization comes out at 0.0 μB/cell. Its density of states at the Fermi level is 0.60 states/eV/atom.

The structure belongs to space group Pm-3m (No. 221); the cell edges are 3.8022, 3.8022 and 3.8022 Å and the angles 90.00°, 90.00° and 90.00°. The inequivalent atoms are Nb at (0.0000, 0.0000, 0.0000), B at (0.0000, 0.5000, 0.5000) and S at (0.5000, 0.5000, 0.5000).

A geometry-optimized LuPaC structure, computed with GGA-PBE.

The calculation puts the energy relative to the lowest polymorph listed for this composition at 0 meV/atom. Its energy relative to the elements is -0.244 eV/atom. The total magnetization comes out at 0.0 μB/cell. Its density of states at the Fermi level is 1.46 states/eV/atom.

The structure belongs to space group P3m1 (No. 156); the cell edges are 3.4326, 3.4326 and 6.0756 Å and the angles 90.00°, 90.00° and 120.00°. The inequivalent atoms are Lu at (0.0000, 0.0000, 0.0000), Pa at (0.3333, 0.6667, 0.5443) and C at (0.6667, 0.3333, 0.7683).

The highest density of states at the Fermi level belongs to which entry? LaPmDy2Sc

What is the density of states at the Fermi level in the eighth record? 1.46 states/eV/atom

What did the first record say?
A geometry-optimized LiCo2Ir structure, computed with GGA-PBE.

Its energy relative to the elements is 0.120 eV/atom. The total magnetization comes out at 3.7 μB/cell. Its density of states at the Fermi level is 1.26 states/eV/atom.

The structure belongs to space group Pmm2 (No. 25); the cell edges are 2.5743, 3.7346 and 5.0605 Å and the angles 90.00°, 90.00° and 90.00°. The inequivalent atoms are Li at (0.0000, 0.0000, 0.0000), Co at (0.0000, 0.0000, 0.4912), Co at (0.5000, 0.5000, 0.2437) and Ir at (0.5000, 0.5000, 0.7449).